A PBEsol-optimized structure of KSb2TeC. Source: Alexandria, functional meta-GGA SCAN.

Cell lengths 5.779, 5.779, 5.755 Å; angles 90.00, 90.00, 90.00 degrees
Element x y z (fractional)
K  0.000  0.000  0.000
Sb  0.000  0.500  0.000
Sb  0.500  0.000  0.000
Te  0.000  0.000  0.500
C  0.500  0.500  0.500

- Final energy: -117.289 eV for the cell shown
- Volume: 38.4 Å³ per atom
- Formation energy (no corrections): 2582 meV/atom
- SG: P4/mmm (123)